*one*
TmTc2Mo after structural relaxation. Source: the Alexandria database, functional PBE.

The structure belongs to space group P4/mmm (No. 123); the cell edges are 4.581, 4.581 and 3.220 Å and the angles 90.00°, 90.00° and 90.00°. The distinct sites, in fractional coordinates, are Tm at (0.000, 0.000, 0.000), Tc at (0.000, 0.500, 0.500) and Mo at (0.500, 0.500, 0.000).

=====

*two*
TmTc2Mo after structural relaxation. Source: the Alexandria database, functional PBE.

The structure belongs to space group P4/mmm (No. 123); the cell edges are 3.194, 3.194 and 6.743 Å and the angles 90.00°, 90.00° and 90.00°. The distinct sites, in fractional coordinates, are Tm at (0.000, 0.000, 0.000), Tc at (0.500, 0.500, 0.279) and Mo at (0.000, 0.000, 0.500).

=====

Verdict on stability: *two* comes out on top.

=====

*one*
TmTcMo after structural relaxation. Source: the Alexandria database, functional PBE.

The structure belongs to space group I4/mmm (No. 139); the cell edges are 4.099, 4.099 and 14.780 Å and the angles 90.00°, 90.00° and 90.00°. The distinct sites, in fractional coordinates, are Tm at (0.000, 0.000, 0.175), Tc at (0.000, 0.000, 0.394) and Mo at (0.000, 0.500, 0.000).

=====

*two*
TmTcMo after structural relaxation. Source: the Alexandria database, functional PBE.

The structure belongs to space group C2/m (No. 12); the cell edges are 15.310, 4.107 and 4.107 Å and the angles 90.00°, 105.41° and 90.00°. The distinct sites, in fractional coordinates, are Tm at (0.173, 0.000, 0.172), Tc at (0.000, 0.000, 0.500), Tc at (0.000, 0.500, 0.000) and Mo at (0.104, 0.500, 0.604).

=====

*three*
TmTcMo after structural relaxation. Source: the Alexandria database, functional PBE.

The structure belongs to space group I4mm (No. 107); the cell edges are 3.214, 3.214 and 10.658 Å and the angles 90.00°, 90.00° and 90.00°. The distinct sites, in fractional coordinates, are Tm at (0.000, 0.000, 0.000), Tc at (0.000, 0.000, 0.683) and Mo at (0.000, 0.000, 0.310).

=====

Verdict on stability: *three* comes out on top.

=====

*one*
UTcMo after structural relaxation. Source: the Alexandria database, functional PBE.

The structure belongs to space group P3m1 (No. 156); the cell edges are 4.5113, 4.5113 and 2.8647 Å and the angles 90.00°, 90.00° and 120.00°. The distinct sites, in fractional coordinates, are U at (0.0000, 0.0000, 0.0000), Tc at (0.6667, 0.3333, 0.7314) and Mo at (0.3333, 0.6667, 0.2398).

=====

*two*
UTcMo after structural relaxation. Source: the Alexandria database, functional PBE.

The structure belongs to space group I4mm (No. 107); the cell edges are 3.703, 3.703 and 7.962 Å and the angles 90.00°, 90.00° and 90.00°. The distinct sites, in fractional coordinates, are U at (0.000, 0.000, 0.000), Tc at (0.000, 0.000, 0.690) and Mo at (0.000, 0.000, 0.309).

=====

Verdict on stability: *one* comes out on top.

=====

*one*
VTcMo3 after structural relaxation. Source: the Alexandria database, functional PBE.

The structure belongs to space group C2/m (No. 12); the cell edges are 15.561, 2.571 and 8.947 Å and the angles 90.00°, 115.41° and 90.00°. The distinct sites, in fractional coordinates, are V at (0.215, 0.000, 0.378), Tc at (0.083, 0.500, 0.815), Mo at (0.071, 0.500, 0.147), Mo at (0.092, 0.500, 0.518) and Mo at (0.230, 0.000, 0.117).

=====

*two*
VTcMo3 after structural relaxation. Source: the Alexandria database, functional PBE.

The structure belongs to space group Pm-3m (No. 221); the cell edges are 4.444, 4.444 and 4.444 Å and the angles 90.00°, 90.00° and 90.00°. The distinct sites, in fractional coordinates, are V at (0.000, 0.000, 0.000), Tc at (0.500, 0.500, 0.500) and Mo at (0.000, 0.000, 0.500).

=====

*three*
VTcMo3 after structural relaxation. Source: the Alexandria database, functional PBE.

The structure belongs to space group Cmcm (No. 63); the cell edges are 4.396, 15.635 and 4.398 Å and the angles 90.00°, 90.00° and 90.00°. The distinct sites, in fractional coordinates, are V at (0.000, 0.249, 0.250), Tc at (0.000, 0.446, 0.250), Mo at (0.000, 0.051, 0.250), Mo at (0.000, 0.152, 0.750) and Mo at (0.000, 0.348, 0.750).

=====

Verdict on stability: *three* comes out on top.

=====

*one*
V4TcMo after structural relaxation. Source: the Alexandria database, functional PBE.

The structure belongs to space group P2_1/c (No. 14); the cell edges are 5.045, 7.518 and 5.047 Å and the angles 90.00°, 117.46° and 90.00°. The distinct sites, in fractional coordinates, are V at (0.106, 0.167, 0.108), V at (0.393, 0.666, 0.895), Tc at (0.000, 0.000, 0.500) and Mo at (0.500, 0.000, 0.000).

=====

*two*
V4TcMo after structural relaxation. Source: the Alexandria database, functional PBE.

The structure belongs to space group F-43m (No. 216); the cell edges are 6.967, 6.967 and 6.967 Å and the angles 90.00°, 90.00° and 90.00°. The distinct sites, in fractional coordinates, are V at (0.125, 0.125, 0.125), Tc at (0.000, 0.000, 0.500) and Mo at (0.250, 0.250, 0.750).

=====

*three*
V4TcMo after structural relaxation. Source: the Alexandria database, functional PBE.

The structure belongs to space group P2/m (No. 10); the cell edges are 2.694, 4.232 and 7.352 Å and the angles 90.00°, 90.03° and 90.00°. The distinct sites, in fractional coordinates, are V at (0.173, 0.000, 0.164), V at (0.179, 0.500, 0.670), Tc at (0.500, 0.500, 0.000) and Mo at (0.500, 0.000, 0.500).

=====

Verdict on stability: *three* comes out on top.

=====

*one*
V6TcMo3 after structural relaxation. Source: the Alexandria database, functional PBE.

The structure belongs to space group P2_1/m (No. 11); the cell edges are 9.060, 2.985 and 11.815 Å and the angles 90.00°, 112.32° and 90.00°. The distinct sites, in fractional coordinates, are V at (0.018, 0.250, 0.324), V at (0.131, 0.250, 0.859), V at (0.248, 0.750, 0.305), V at (0.277, 0.750, 0.715), V at (0.288, 0.750, 0.062), V at (0.391, 0.250, 0.518), Tc at (0.443, 0.250, 0.269), Mo at (0.081, 0.250, 0.100), Mo at (0.136, 0.750, 0.506) and Mo at (0.423, 0.250, 0.900).

=====

*two*
V6TcMo3 after structural relaxation. Source: the Alexandria database, functional PBE.

The structure belongs to space group P2_1/m (No. 11); the cell edges are 7.477, 4.305 and 9.144 Å and the angles 90.00°, 105.67° and 90.00°. The distinct sites, in fractional coordinates, are V at (0.049, 0.250, 0.398), V at (0.147, 0.750, 0.198), V at (0.150, 0.250, 0.701), V at (0.246, 0.250, 0.999), V at (0.348, 0.750, 0.802), V at (0.450, 0.250, 0.601), Tc at (0.051, 0.750, 0.899), Mo at (0.245, 0.750, 0.502), Mo at (0.349, 0.250, 0.300) and Mo at (0.452, 0.750, 0.102).

=====

Verdict on stability: *two* comes out on top.

=====

*one*
V4TcMo2 after structural relaxation. Source: the Alexandria database, functional PBE.

The structure belongs to space group Cmmm (No. 65); the cell edges are 2.513, 33.268 and 2.555 Å and the angles 90.00°, 90.00° and 90.00°. The distinct sites, in fractional coordinates, are V at (0.000, 0.150, 0.000), V at (0.000, 0.286, 0.500), Tc at (0.000, 0.500, 0.500) and Mo at (0.000, 0.424, 0.000).

=====

*two*
V4TcMo2 after structural relaxation. Source: the Alexandria database, functional PBE.

The structure belongs to space group I4/mmm (No. 139); the cell edges are 5.997, 5.997 and 6.080 Å and the angles 90.00°, 90.00° and 90.00°. The distinct sites, in fractional coordinates, are V at (0.250, 0.250, 0.250), Tc at (0.000, 0.000, 0.000) and Mo at (0.000, 0.500, 0.000).

=====

*three*
V4TcMo2 after structural relaxation. Source: the Alexandria database, functional PBE.

The structure belongs to space group I4/mmm (No. 139); the cell edges are 4.469, 4.469 and 12.377 Å and the angles 90.00°, 90.00° and 90.00°. The distinct sites, in fractional coordinates, are V at (0.000, 0.000, 0.195), V at (0.000, 0.500, 0.000), Tc at (0.000, 0.000, 0.000) and Mo at (0.000, 0.000, 0.376).

=====

Verdict on stability: *two* comes out on top.

=====

*one*
VTcMo after structural relaxation. Source: the Alexandria database, functional PBE.

The structure belongs to space group I4mm (No. 107); the cell edges are 3.074, 3.074 and 9.259 Å and the angles 90.00°, 90.00° and 90.00°. The distinct sites, in fractional coordinates, are V at (0.000, 0.000, 0.000), Tc at (0.000, 0.000, 0.662) and Mo at (0.000, 0.000, 0.334).

=====

*two*
VTcMo after structural relaxation. Source: the Alexandria database, functional PBE.

The structure belongs to space group Cmcm (No. 63); the cell edges are 3.076, 12.918 and 4.417 Å and the angles 90.00°, 90.00° and 90.00°. The distinct sites, in fractional coordinates, are V at (0.000, 0.249, 0.250), Tc at (0.000, 0.414, 0.750) and Mo at (0.000, 0.087, 0.750).

=====

*three*
VTcMo after structural relaxation. Source: the Alexandria database, functional PBE.

The structure belongs to space group P3m1 (No. 156); the cell edges are 4.3161, 4.3161 and 2.7148 Å and the angles 90.00°, 90.00° and 120.00°. The distinct sites, in fractional coordinates, are V at (0.0000, 0.0000, 0.0000), Tc at (0.6667, 0.3333, 0.3301) and Mo at (0.3333, 0.6667, 0.6665).

=====

*four*
VTcMo after structural relaxation. Source: the Alexandria database, functional PBE.

The structure belongs to space group P-1 (No. 2); the cell edges are 2.641, 5.158 and 6.817 Å and the angles 79.20°, 84.32° and 79.12°. The distinct sites, in fractional coordinates, are V at (0.203, 0.169, 0.339), Tc at (0.361, 0.324, 0.655), Mo at (0.000, 0.000, 0.000) and Mo at (0.000, 0.500, 0.000).

=====

Verdict on stability: *one* comes out on top.

=====

*one*
VTcMo4 after structural relaxation. Source: the Alexandria database, functional PBE.

The structure belongs to space group Cmc2_1 (No. 36); the cell edges are 4.447, 17.813 and 5.187 Å and the angles 90.00°, 90.00° and 90.00°. The distinct sites, in fractional coordinates, are V at (0.000, 0.076, 0.000), Tc at (0.000, 0.364, 0.183), Mo at (0.000, 0.065, 0.496), Mo at (0.000, 0.208, 0.354), Mo at (0.000, 0.211, 0.852) and Mo at (0.000, 0.365, 0.677).

=====

*two*
VTcMo4 after structural relaxation. Source: the Alexandria database, functional PBE.

The structure belongs to space group C2/m (No. 12); the cell edges are 9.871, 3.125 and 6.251 Å and the angles 90.00°, 108.45° and 90.00°. The distinct sites, in fractional coordinates, are V at (0.000, 0.000, 0.000), Tc at (0.000, 0.000, 0.500), Mo at (0.165, 0.500, 0.835) and Mo at (0.167, 0.500, 0.330).

=====

Verdict on stability: *two* comes out on top.